The following is a DFT calculation (PBE) of a geometry-optimized PrErIr structure.

Energy relative to the lowest polymorph listed for this composition   0.036 eV/atom
Calculated volume   82.5 Å³ per cell
ΔE_f   -0.59 eV/atom

Cell lengths 4.887, 4.887, 4.887 Å; angles 60.00, 60.00, 60.00 degrees
Positions (direct):
Pr (0.000, 0.000, 0.000)
Er (0.500, 0.500, 0.500)
Ir (0.250, 0.250, 0.250)